## MgAgP2S (PBE-GGA)

Data for a relaxed MgAgP2S crystal.

Calculated values
Electronic total energy: -3.0809 eV per atom
Total magnetization: 0.71 Bohr magnetons per cell
Crystal system: tetragonal

Cell and atoms, written as CIF:
```
data_MgAgP2S
_symmetry_space_group_name_H-M 'P 4/m m m'
_symmetry_Int_Tables_number 123
_symmetry_space_group_name_Hall '-P 4 2'
_cell_length_a 4.7797
_cell_length_b 4.7797
_cell_length_c 4.9865
_cell_angle_alpha 90.00
_cell_angle_beta 90.00
_cell_angle_gamma 90.00
loop_
_atom_site_label
_atom_site_fract_x
_atom_site_fract_y
_atom_site_fract_z
_atom_site_occupancy
Mg1 0.0000 0.0000 0.0000 1
Ag1 0.5000 0.5000 0.5000 1
P1 0.0000 0.5000 0.5000 1
S1 0.5000 0.5000 0.0000 1
```